Material: NaZn2
Method: DFT, PBE-GGA
State: relaxed

Unit cell a=3.2332 b=3.2332 c=11.4013 alpha=90.00 beta=90.00 gamma=90.00
Closest atoms and distances in Å follow each position.
Fractional positions:
Na  0.0000  0.0000  0.0000  10 Zn 3.17-3.50, 4 Na 3.23
Na  0.5000  0.5000  0.5000  10 Zn 3.17-3.50, 4 Na 3.23
Zn  0.0000  0.0000  0.3073  4 Zn 2.63
Zn  0.0000  0.0000  0.6927  4 Zn 2.63
Zn  0.5000  0.5000  0.1927  4 Zn 2.63
Zn  0.5000  0.5000  0.8073  4 Zn 2.63

Summary:
Size of the total moment, μB/atom: 0.00
Energy of formation from the pure elements, meV/atom: 58
Fermi-level density of states, states/eV/cell: 1.73
Crystal system: tetragonal

=====

Material: La3FeAg
Method: DFT, PBE-GGA
State: relaxed

Unit cell a=8.4017 b=8.4017 c=8.8280 alpha=91.51 beta=91.51 gamma=27.13
Closest atoms and distances in Å follow each position.
Fractional positions:
La  0.0513  0.0513  0.2929  4 Ag 3.16-3.33
La  0.2432  0.2432  0.6922  3 Fe 3.05-3.12, 2 Ag 3.34
La  0.3990  0.3990  0.0613  3 Fe 2.72-3.03
La  0.6010  0.6010  0.9387  3 Fe 2.72-3.03
La  0.7568  0.7568  0.3078  3 Fe 3.05-3.12, 2 Ag 3.34
La  0.9487  0.9487  0.7071  4 Ag 3.16-3.33
Fe  0.2328  0.2328  0.0369  2 Fe 2.15
Fe  0.7672  0.7672  0.9631  2 Fe 2.15
Ag  0.4083  0.4083  0.4357  7 La 3.16-3.34, 1 Ag 3.18
Ag  0.5917  0.5917  0.5643  7 La 3.16-3.34, 1 Ag 3.18

Summary:
Size of the total moment, μB/atom: 0.00
Relative energy among the computed polymorphs, meV/atom: 0
Energy of formation from the pure elements, meV/atom: -57
Fermi-level density of states, states/eV/cell: 11.33
Crystal system: monoclinic

=====

Material: NpPa2PbO8
Method: DFT, PBE-GGA
State: relaxed

Unit cell a=6.7102 b=6.7102 c=6.7102 alpha=131.44 beta=131.44 gamma=71.11
Closest atoms and distances in Å follow each position.
Fractional positions:
Np  0.0000  0.0000  0.0000  8 O 2.37
Pa  0.5000  0.5000  0.0000  8 O 2.33
Pa  0.7500  0.2500  0.5000  8 O 2.32
Pb  0.2500  0.7500  0.5000  8 O 2.52
O  0.1180  0.1501  0.5064  2 Pa 2.32-2.33, 1 Np 2.37, 1 Pb 2.52, 1 O 2.55
O  0.1180  0.6116  0.9679  2 Pa 2.32-2.33, 1 Np 2.37, 1 Pb 2.52, 1 O 2.55
O  0.3884  0.3563  0.5064  2 Pa 2.32-2.33, 1 Np 2.37, 1 Pb 2.52, 1 O 2.55
O  0.3884  0.8820  0.0321  2 Pa 2.32-2.33, 1 Np 2.37, 1 Pb 2.52, 1 O 2.55
O  0.6437  0.1501  0.0321  2 Pa 2.32-2.33, 1 Np 2.37, 1 Pb 2.52, 1 O 2.55
O  0.6437  0.6116  0.4936  2 Pa 2.32-2.33, 1 Np 2.37, 1 Pb 2.52, 1 O 2.55
O  0.8499  0.3563  0.9679  2 Pa 2.32-2.33, 1 Np 2.37, 1 Pb 2.52, 1 O 2.55
O  0.8499  0.8820  0.4936  2 Pa 2.32-2.33, 1 Np 2.37, 1 Pb 2.52, 1 O 2.55

Summary:
Uncorrected formation energy, eV per atom: -3.034
Size of the total moment, μB/atom: 0.25
Fermi-level density of states, states/eV/cell: 10.77
Crystal system: tetragonal

=====

Material: TmPa2Sn
Method: DFT, PBE-GGA
State: relaxed

Unit cell a=4.4268 b=4.4268 c=5.1301 alpha=90.00 beta=90.00 gamma=90.00
Closest atoms and distances in Å follow each position.
Fractional positions:
Tm  0.0000  0.0000  0.0000  4 Sn 3.13, 8 Pa 3.39
Pa  0.0000  0.5000  0.5000  4 Pa 3.13, 4 Sn 3.39, 4 Tm 3.39
Pa  0.5000  0.0000  0.5000  4 Pa 3.13, 4 Sn 3.39, 4 Tm 3.39
Sn  0.5000  0.5000  0.0000  4 Tm 3.13, 8 Pa 3.39

Summary:
Size of the total moment, μB/atom: 0.00
Relative energy among the computed polymorphs, meV/atom: 0
Energy of formation from the pure elements, meV/atom: -207
Fermi-level density of states, states/eV/cell: 6.03
Crystal system: tetragonal

=====

Material: NbCuAs
Method: DFT, PBE-GGA
State: relaxed

Unit cell a=3.7575 b=4.5965 c=12.0780 alpha=90.00 beta=90.00 gamma=90.00
Closest atoms and distances in Å follow each position.
Fractional positions:
Nb  0.0000  0.0000  0.1551  4 As 2.63-2.94, 2 Cu 2.65
Nb  0.0000  0.0000  0.8449  4 As 2.63-2.94, 2 Cu 2.65
Nb  0.5000  0.5000  0.1551  4 As 2.63-2.94, 2 Cu 2.65
Nb  0.5000  0.5000  0.8449  4 As 2.63-2.94, 2 Cu 2.65
Cu  0.0000  0.5000  0.0000  8 Nb 2.65-2.96, 4 Cu 2.97
Cu  0.0000  0.5000  0.5000  2 As 2.33
Cu  0.5000  0.0000  0.0000  8 Nb 2.65-2.96, 4 Cu 2.97
Cu  0.5000  0.0000  0.5000  2 As 2.33
As  0.0000  0.5000  0.3070  1 Cu 2.33
As  0.0000  0.5000  0.6930  1 Cu 2.33
As  0.5000  0.0000  0.3070  1 Cu 2.33
As  0.5000  0.0000  0.6930  1 Cu 2.33

Summary:
Size of the total moment, μB/atom: 0.00
Energy of formation from the pure elements, meV/atom: -2
Fermi-level density of states, states/eV/cell: 2.65
Crystal system: orthorhombic

=====

Material: Rb3CO
Method: DFT, PBE-GGA
State: relaxed

Unit cell a=5.5283 b=5.5283 c=5.5283 alpha=90.00 beta=90.00 gamma=90.00
Closest atoms and distances in Å follow each position.
Fractional positions:
Rb  0.0000  0.0000  0.5000  2 O 2.76
Rb  0.0000  0.5000  0.0000  2 O 2.76
Rb  0.5000  0.0000  0.0000  2 O 2.76
C  0.5000  0.5000  0.5000  12 Rb 3.91
O  0.0000  0.0000  0.0000  6 Rb 2.76

Summary:
Uncorrected formation energy, eV per atom: 0.404
Size of the total moment, μB/atom: 0.60
Relative energy among the computed polymorphs, meV/atom: 0
Fermi-level density of states, states/eV/cell: 0.83
Crystal system: cubic